(1)
First-principles (GGA-PBEsol) data for a relaxed LiAg2Pb crystal, as listed in Alexandria via LeMat-Bulk.

The formation energy from the elements comes out at -0.101 eV per atom. For the mass density, the calculation gives 9.6 g/cm³. The magnetization is 0.000 μB per formula unit. As for the total DFT energy (no corrections): -13.0 eV per cell. Its space group is P4/mmm (123).

abc: 4.179 4.179 4.274
angles: 90.00 90.00 90.00
Fractional coordinates of all 4 atoms:
Ag 0.000 0.500 0.000
Pb 0.000 0.000 0.500
Li 0.500 0.500 0.500
Ag 0.500 0.000 0.000

***

(2)
First-principles (GGA-PBEsol) data for a relaxed Ta2GaAuBr crystal, as listed in Alexandria via LeMat-Bulk.

For the mass density, the calculation gives 10.8 g/cm³. The magnetization is 0.699 μB per formula unit. As for the total DFT energy (no corrections): -27.4 eV per cell. Its raw formation energy is 1373 meV/atom. Its space group is P4/mmm (123).

abc: 4.606 4.859 4.859
angles: 90.00 90.00 90.00
Last column: magnetic moment on the atom in μB.
Fractional coordinates of all 5 atoms:
Ta 0.000 0.500 0.000  0.21
Ta 0.000 0.000 0.500  0.21
Br 0.500 0.500 0.500  0.01
Ga 0.000 0.000 0.000  0.02
Au 0.500 0.000 0.000  0.01

***

(3)
First-principles (GGA-PBEsol) data for a relaxed ScSbSe2 crystal, as listed in Alexandria via LeMat-Bulk.

For the mass density, the calculation gives 4.8 g/cm³. The magnetization is 0.000 μB per formula unit. As for the total DFT energy (no corrections): -19.7 eV per cell. Its raw formation energy is -220 meV/atom. Its space group is R-3m (166).

abc: 3.887 3.887 8.875
angles: 77.35 77.35 60.00
Fractional coordinates of all 4 atoms:
Sb 0.500 0.500 0.500
Se 0.900 0.900 0.301
Sc 0.000 0.000 0.000
Se 0.100 0.100 0.699

***

(4)
First-principles (GGA-PBEsol) data for a relaxed MgZn3Cu crystal, as listed in Alexandria via LeMat-Bulk.

The formation energy from the elements comes out at -0.068 eV per atom. For the mass density, the calculation gives 6.2 g/cm³. The magnetization is 0.000 μB per formula unit. As for the total DFT energy (no corrections): -22.3 eV per cell. Its space group is Cmcm (63).

abc: 4.848 5.143 6.598
angles: 67.06 90.00 90.00
Fractional coordinates of all 10 atoms:
Zn 0.250 0.897 0.704
Cu 0.500 0.000 0.000
Mg 0.250 0.420 0.161
Zn 0.250 0.823 0.355
Zn 0.250 0.399 0.704
Mg 0.750 0.580 0.839
Cu 0.000 0.000 0.000
Zn 0.750 0.103 0.296
Zn 0.750 0.177 0.645
Zn 0.750 0.601 0.296

***

(5)
First-principles (GGA-PBEsol) data for a relaxed MgTiBO4 crystal, as listed in Alexandria via LeMat-Bulk.

For the mass density, the calculation gives 3.6 g/cm³. The magnetization is 1.003 μB per formula unit. As for the total DFT energy (no corrections): -227.6 eV per cell. Its raw formation energy is -2691 meV/atom. Its space group is Pmc2_1 (26).

abc: 3.078 9.372 9.423
angles: 90.00 90.00 90.00
Last column: magnetic moment on the atom in μB.
Fractional coordinates of all 28 atoms:
Mg 0.000 0.380 0.817  0.00
O 0.500 0.238 0.759  -0.01
O 0.000 0.253 0.000  0.01
O 0.000 0.992 0.368  0.00
B 0.500 0.667 0.373  0.00
O 0.000 0.474 0.119  -0.01
Ti 0.500 0.101 0.942  1.02
O 0.000 0.753 0.000  0.01
O 0.500 0.738 0.241  -0.01
O 0.500 0.528 0.868  -0.04
Ti 0.500 0.601 0.058  1.02
Ti 0.500 0.612 0.679  0.77
O 0.500 0.028 0.132  -0.04
O 0.000 0.263 0.258  0.00
Ti 0.500 0.112 0.321  0.77
O 0.000 0.763 0.742  0.00
O 0.500 0.246 0.501  -0.01
B 0.500 0.167 0.627  0.00
Mg 0.000 0.897 0.560  0.00
O 0.500 0.522 0.378  0.01
O 0.000 0.492 0.632  0.00
B 0.000 0.328 0.127  0.01
O 0.500 0.022 0.622  0.01
Mg 0.000 0.880 0.183  0.00
Mg 0.000 0.397 0.440  0.00
B 0.000 0.828 0.873  0.01
O 0.500 0.746 0.499  -0.01
O 0.000 0.974 0.881  -0.01

***

(6)
First-principles (GGA-PBEsol) data for a relaxed BaMg4Se crystal, as listed in Alexandria via LeMat-Bulk.

For the mass density, the calculation gives 3.2 g/cm³. The magnetization is 0.000 μB per formula unit. As for the total DFT energy (no corrections): -13.4 eV per cell. Its raw formation energy is -95 meV/atom. Its space group is F-43m (216).

abc: 6.146 6.146 6.146
angles: 60.00 60.00 60.00
Fractional coordinates of all 6 atoms:
Mg 0.871 0.376 0.376
Mg 0.376 0.376 0.376
Se 0.750 0.750 0.750
Mg 0.376 0.871 0.376
Mg 0.376 0.376 0.871
Ba 0.000 0.000 0.000

***

(7)
First-principles (GGA-PBEsol) data for a relaxed Ta2Be2Zn crystal, as listed in Alexandria via LeMat-Bulk.

The formation energy from the elements comes out at -0.113 eV per atom. For the mass density, the calculation gives 11.6 g/cm³. The magnetization is 0.000 μB per formula unit. As for the total DFT energy (no corrections): -70.5 eV per cell. Its space group is P4/mbm (127).

abc: 3.561 5.986 5.986
angles: 90.00 90.00 90.00
Fractional coordinates of all 10 atoms:
Be 0.000 0.379 0.879
Ta 0.500 0.674 0.826
Ta 0.500 0.326 0.174
Zn 0.000 0.500 0.500
Be 0.000 0.621 0.121
Zn 0.000 0.000 0.000
Be 0.000 0.879 0.621
Be 0.000 0.121 0.379
Ta 0.500 0.826 0.326
Ta 0.500 0.174 0.674

***

(8)
First-principles (GGA-PBEsol) data for a relaxed Rb2LiCoC6N6 crystal, as listed in Alexandria via LeMat-Bulk.

For the mass density, the calculation gives 2.5 g/cm³. The magnetization is 0.129 μB per formula unit. As for the total DFT energy (no corrections): -246.3 eV per cell. Its raw formation energy is -148 meV/atom. Its space group is P2_1/c (14).

abc: 7.020 7.365 10.113
angles: 90.00 89.50 90.00
Last column: magnetic moment on the atom in μB.
Fractional coordinates of all 32 atoms:
C 0.144 0.794 0.030  0.00
N 0.414 0.481 0.793  0.00
Li 0.500 0.500 0.000  0.00
Rb 0.519 0.062 0.750  0.00
C 0.945 0.011 0.179  0.00
C 0.356 0.294 0.470  0.00
C 0.055 0.989 0.821  0.00
Rb 0.981 0.562 0.750  0.00
Rb 0.019 0.438 0.250  0.00
C 0.856 0.206 0.970  0.00
N 0.914 0.019 0.293  0.00
N 0.845 0.262 0.542  0.00
Li 0.000 0.000 0.500  0.00
C 0.712 0.356 0.525  0.00
Rb 0.481 0.938 0.250  0.00
N 0.155 0.738 0.458  0.00
C 0.212 0.144 0.025  0.00
C 0.788 0.856 0.975  0.00
N 0.086 0.981 0.707  0.00
N 0.345 0.238 0.042  0.00
N 0.236 0.663 0.049  0.00
Co 0.500 0.500 0.500  0.10
N 0.764 0.337 0.951  0.00
C 0.445 0.489 0.679  0.00
N 0.264 0.163 0.451  0.00
C 0.644 0.706 0.530  0.00
C 0.288 0.644 0.475  0.00
C 0.555 0.511 0.321  0.00
Co 0.000 0.000 0.000  0.10
N 0.586 0.519 0.207  0.00
N 0.736 0.837 0.549  0.00
N 0.655 0.762 0.958  0.00

***

(9)
First-principles (GGA-PBEsol) data for a relaxed AlTlBi2F crystal, as listed in Alexandria via LeMat-Bulk.

For the mass density, the calculation gives 9.2 g/cm³. The magnetization is 0.000 μB per formula unit. As for the total DFT energy (no corrections): -20.7 eV per cell. Its raw formation energy is -696 meV/atom. Its space group is P4/mmm (123).

abc: 3.592 5.800 5.800
angles: 90.00 90.00 90.00
Fractional coordinates of all 5 atoms:
Tl 0.500 0.500 0.500
Bi 0.000 0.000 0.500
Bi 0.000 0.500 0.000
Al 0.000 0.000 0.000
F 0.500 0.000 0.000

***

(10)
First-principles (GGA-PBEsol) data for a relaxed FeRuPt crystal, as listed in Alexandria via LeMat-Bulk.

The formation energy from the elements comes out at 0.003 eV per atom. For the mass density, the calculation gives 15.0 g/cm³. The magnetization is 1.644 μB per formula unit. As for the total DFT energy (no corrections): -26.1 eV per cell. Its space group is I4mm (107).

abc: 2.660 2.660 5.819
angles: 103.21 103.21 90.00
Last column: magnetic moment on the atom in μB.
Fractional coordinates of all 3 atoms:
Ru 0.655 0.655 0.310  -0.27
Fe 0.007 0.007 0.014  1.87
Pt 0.338 0.338 0.676  0.05

***

Values for DOS(E_F), states/eV per cell, ordered as above
1.30, 7.63, 1.99, 3.06, 9.30, 2.87, 5.57, 0.00, 2.06, 2.96